Density functional theory data (PBE+U) for an optimized crystal structure of FePNO2.

Values from the calculation:
**Calculated total energy**: -5.35 eV per atom
**Total magnetic moment**: 4.0 Bohr magnetons per cell
**DOS at the Fermi energy**: 1.751 states/eV/cell

Cell: 3.6821 3.6821 4.0218 Å, 90.00 90.00 90.00°
Element x y z (fractional)
Fe (0.0000, 0.0000, 0.0000)
P (0.5000, 0.5000, 0.5000)
N (0.0000, 0.0000, 0.5000)
O (0.0000, 0.5000, 0.0000)
O (0.5000, 0.0000, 0.0000)